(1)
Compound: Ac2LaIn
Source: the Alexandria database
Functional: PBE
Structure: optimized geometry

It has space group R3m (No. 160, hexagonal axes), with a = 3.9693 Å, b = 3.9693 Å, c = 34.7796 Å, α = 90.00°, β = 90.00° and γ = 120.00°. Symmetry generates all atoms from Ac at (0.0000, 0.0000, 0.0000), Ac at (0.0000, 0.0000, 0.1819), La at (0.0000, 0.0000, 0.7580) and In at (0.0000, 0.0000, 0.5909).

As for the energy above the lowest structure with this stoichiometry: 51 kJ/mol of formula units. Its formation energy is -0.080 eV per atom. The calculated density comes out at 7.4 g cm⁻³. The magnetization comes out at 0.00 μB per formula unit. For the calculated total energy, the calculation gives -4.051 eV per atom.

***

(2)
Compound: Be3CuSi
Source: the Alexandria database
Functional: PBE
Structure: optimized geometry

It has space group Pm-3m (No. 221), with a = 4.035 Å, b = 4.035 Å, c = 4.035 Å, α = 90.00°, β = 90.00° and γ = 90.00°. Symmetry generates all atoms from Be at (0.000, 0.000, 0.500), Cu at (0.000, 0.000, 0.000) and Si at (0.500, 0.500, 0.500).

As for the energy above the lowest structure with this stoichiometry: 0 kJ/mol of formula units. The calculated density comes out at 3.0 g cm⁻³. The magnetization comes out at 0.00 μB per formula unit. For the calculated total energy, the calculation gives -3.366 eV per atom. As for the formation energy from raw total energies: 0.77 eV per atom.

***

(3)
Compound: SnAsI2
Source: the Alexandria database
Functional: PBE
Structure: optimized geometry

It has space group I-42d (No. 122), with a = 8.560 Å, b = 8.560 Å, c = 7.221 Å, α = 90.00°, β = 90.00° and γ = 90.00°. Symmetry generates all atoms from Sn at (0.000, 0.000, 0.000), As at (0.000, 0.000, 0.500) and I at (0.233, 0.250, 0.625).

As for the energy above the lowest structure with this stoichiometry: 0 kJ/mol of formula units. The calculated density comes out at 5.6 g cm⁻³. The magnetization comes out at 0.00 μB per formula unit. For the calculated total energy, the calculation gives -2.624 eV per atom. As for the formation energy from raw total energies: 0.31 eV per atom.

***

(4)
Compound: La5Pr2Y
Source: the Alexandria database
Functional: PBE
Structure: optimized geometry

It has space group Cmcm (No. 63), with a = 5.776 Å, b = 12.217 Å, c = 16.777 Å, α = 90.00°, β = 90.00° and γ = 90.00°. Symmetry generates all atoms from La at (0.000, 0.035, 0.250), La at (0.000, 0.114, 0.553), La at (0.000, 0.424, 0.593), Pr at (0.000, 0.275, 0.133) and Y at (0.000, 0.248, 0.750).

As for the energy above the lowest structure with this stoichiometry: 65 kJ/mol of formula units. Its formation energy is 0.106 eV per atom. The calculated density comes out at 6.0 g cm⁻³. The magnetization comes out at 0.00 μB per formula unit. For the calculated total energy, the calculation gives -4.976 eV per atom.

***

(5)
Compound: CaAg2As
Source: the Alexandria database
Functional: PBE
Structure: optimized geometry

It has space group P2/m (No. 10), with a = 3.351 Å, b = 4.813 Å, c = 5.464 Å, α = 90.00°, β = 90.15° and γ = 90.00°. Symmetry generates all atoms from Ca at (0.000, 0.000, 0.000), Ag at (0.499, 0.500, 0.753) and As at (0.500, 0.000, 0.500).

Its formation energy is -0.304 eV per atom. The calculated density comes out at 6.2 g cm⁻³. The magnetization comes out at 0.00 μB per formula unit. For the calculated total energy, the calculation gives -3.392 eV per atom.

***

(6)
Compound: Be2Al2Rh
Source: the Alexandria database
Functional: PBE
Structure: optimized geometry

It has space group P4/mbm (No. 127), with a = 6.152 Å, b = 6.152 Å, c = 3.148 Å, α = 90.00°, β = 90.00° and γ = 90.00°. Symmetry generates all atoms from Be at (0.120, 0.380, 0.000), Al at (0.174, 0.674, 0.500) and Rh at (0.000, 0.000, 0.000).

As for the energy above the lowest structure with this stoichiometry: 0 kJ/mol of formula units. Its formation energy is -0.240 eV per atom. The calculated density comes out at 4.9 g cm⁻³. The magnetization comes out at 0.00 μB per formula unit. For the calculated total energy, the calculation gives -4.697 eV per atom.

***

(7)
Compound: Nb8Si2Ge
Source: the Alexandria database
Functional: PBE
Structure: optimized geometry

It has space group C2/m (No. 12), with a = 16.593 Å, b = 3.545 Å, c = 6.988 Å, α = 90.00°, β = 109.59° and γ = 90.00°. Symmetry generates all atoms from Nb at (0.038, 0.000, 0.258), Nb at (0.092, 0.500, 0.971), Nb at (0.175, 0.500, 0.459), Nb at (0.191, 0.000, 0.808), Si at (0.193, 0.000, 0.197) and Ge at (0.000, 0.500, 0.500).

The calculated density comes out at 7.5 g cm⁻³. The magnetization comes out at 0.00 μB per formula unit. For the calculated total energy, the calculation gives -9.044 eV per atom. As for the formation energy from raw total energies: -0.32 eV per atom.

***

(8)
Compound: Ga2SbPdC
Source: the Alexandria database
Functional: PBE
Structure: optimized geometry

It has space group P4/mmm (No. 123), with a = 5.451 Å, b = 5.451 Å, c = 4.088 Å, α = 90.00°, β = 90.00° and γ = 90.00°. Symmetry generates all atoms from Ga at (0.000, 0.500, 0.000), Sb at (0.000, 0.000, 0.000), Pd at (0.500, 0.500, 0.500) and C at (0.000, 0.000, 0.500).

The calculated density comes out at 5.2 g cm⁻³. The magnetization comes out at 0.00 μB per formula unit. For the calculated total energy, the calculation gives -3.480 eV per atom. As for the formation energy from raw total energies: 1.44 eV per atom.

***

(9)
Compound: CsMnCu2Cl8
Source: the Alexandria database
Functional: PBE
Structure: optimized geometry

It has space group R-3m (No. 166, hexagonal axes), with a = 6.9797 Å, b = 6.9797 Å, c = 27.3357 Å, α = 90.00°, β = 90.00° and γ = 120.00°. Symmetry generates all atoms from Cs at (0.0000, 0.0000, 0.0000), Mn at (0.0000, 0.0000, 0.5000), Cu at (0.0000, 0.0000, 0.2423), Cl at (0.0000, 0.0000, 0.3218) and Cl at (0.0252, 0.5126, 0.1147).

The calculated density comes out at 2.6 g cm⁻³. The magnetization comes out at 1.89 μB per formula unit. For the calculated total energy, the calculation gives -3.585 eV per atom. As for the formation energy from raw total energies: -0.84 eV per atom.

***

(10)
Compound: HgPtCl
Source: the Alexandria database
Functional: PBE
Structure: optimized geometry

It has space group P3m1 (No. 156), with a = 3.4325 Å, b = 3.4325 Å, c = 6.0002 Å, α = 90.00°, β = 90.00° and γ = 120.00°. Symmetry generates all atoms from Hg at (0.0000, 0.0000, 0.0000), Pt at (0.6667, 0.3333, 0.3180) and Cl at (0.3333, 0.6667, 0.6311).

As for the energy above the lowest structure with this stoichiometry: 37 kJ/mol of formula units. The calculated density comes out at 11.7 g cm⁻³. The magnetization comes out at 0.00 μB per formula unit. For the calculated total energy, the calculation gives -2.545 eV per atom. As for the formation energy from raw total energies: 0.18 eV per atom.

***

(11)
Compound: Cs2HWI6
Source: the Alexandria database
Functional: PBE
Structure: optimized geometry

It has space group Fm-3m (No. 225), with a = 11.743 Å, b = 11.743 Å, c = 11.743 Å, α = 90.00°, β = 90.00° and γ = 90.00°. Symmetry generates all atoms from Cs at (0.250, 0.250, 0.250), H at (0.000, 0.000, 0.000), W at (0.000, 0.000, 0.500) and I at (0.000, 0.000, 0.263).

The calculated density comes out at 5.0 g cm⁻³. The magnetization comes out at 3.00 μB per formula unit. For the calculated total energy, the calculation gives -3.173 eV per atom.

***

(12)
Compound: KRbLi4
Source: the Alexandria database
Functional: PBE
Structure: optimized geometry

It has space group F-43m (No. 216), with a = 9.567 Å, b = 9.567 Å, c = 9.567 Å, α = 90.00°, β = 90.00° and γ = 90.00°. Symmetry generates all atoms from K at (0.000, 0.000, 0.000), Rb at (0.250, 0.250, 0.250) and Li at (0.126, 0.126, 0.626).

Its formation energy is 0.117 eV per atom. The calculated density comes out at 1.2 g cm⁻³. The magnetization comes out at 0.00 μB per formula unit. For the calculated total energy, the calculation gives -1.503 eV per atom.